[1]
! TaVSi2Cl (PBE, relaxed); values from VASP
! * VASP energy: -5.733 eV per atom
! * Fermi-level density of states: 6.7 states/eV/f.u.
&SYSTEM
  ibrav = 0, nat = 5, ntyp = 4
/
ATOMIC_SPECIES
Si 28.09 Si.upf
Cl 35.45 Cl.upf
Ta 180.95 Ta.upf
V 50.94 V.upf
CELL_PARAMETERS angstrom
4.948 0.000 0.000
0.000 4.948 0.000
0.000 0.000 4.679
ATOMIC_POSITIONS crystal
Si 0.000 0.500 0.000
Si 0.500 0.000 0.000
Cl 0.500 0.500 0.500
Ta 0.000 0.000 0.000
V 0.000 0.000 0.500

=====

[2]
! TbHoCuPt (PBE, relaxed); values from VASP
! * energy relative to the lowest polymorph listed for this composition: 0.0 kJ/mol of atoms
! * VASP energy: -5.645 eV per atom
! * Fermi-level density of states: 2.5 states/eV/f.u.
! * calculated formation energy: -0.81 eV/atom
&SYSTEM
  ibrav = 0, nat = 4, ntyp = 4
/
ATOMIC_SPECIES
Cu 63.55 Cu.upf
Pt 195.08 Pt.upf
Tb 158.93 Tb.upf
Ho 164.93 Ho.upf
CELL_PARAMETERS angstrom
-3.423 -1.490 -0.527
1.808 -3.327 -2.332
2.250 -2.048 4.667
ATOMIC_POSITIONS crystal
Cu 0.422 0.000 0.843
Pt 0.579 0.500 0.158
Tb 0.861 0.500 0.722
Ho 0.138 0.000 0.277

=====

[3]
! U3Ag5S12 (PBE, relaxed); values from VASP
! * VASP energy: -5.428 eV per atom
! * Fermi-level density of states: 15.8 states/eV/f.u.
&SYSTEM
  ibrav = 0, nat = 80, ntyp = 3
/
ATOMIC_SPECIES
S 32.06 S.upf
U 238.03 U.upf
Ag 107.87 Ag.upf
CELL_PARAMETERS angstrom
-2.951 -2.033 -12.620
3.090 -11.423 5.663
-10.346 5.257 6.118
ATOMIC_POSITIONS crystal
S 0.918 0.089 0.863
S 0.726 0.137 0.055
S 0.330 0.774 0.411
S 0.774 0.445 0.363
S 0.226 0.555 0.637
S 0.445 0.774 0.863
S 0.589 0.863 0.418
S 0.363 0.945 0.774
S 0.918 0.830 0.555
S 0.411 0.274 0.330
S 0.055 0.637 0.726
S 0.726 0.589 0.170
S 0.863 0.274 0.445
S 0.089 0.170 0.226
S 0.582 0.945 0.670
S 0.137 0.726 0.555
S 0.082 0.911 0.137
S 0.274 0.863 0.945
S 0.911 0.830 0.774
S 0.589 0.726 0.670
S 0.555 0.226 0.137
S 0.863 0.589 0.918
S 0.945 0.582 0.170
S 0.445 0.670 0.082
S 0.226 0.670 0.089
S 0.411 0.137 0.582
S 0.418 0.363 0.589
S 0.555 0.330 0.918
S 0.637 0.582 0.911
S 0.089 0.918 0.363
S 0.330 0.555 0.418
S 0.637 0.055 0.226
S 0.830 0.918 0.055
S 0.830 0.911 0.274
S 0.137 0.411 0.082
S 0.170 0.082 0.945
S 0.945 0.363 0.274
S 0.418 0.055 0.330
S 0.774 0.330 0.911
S 0.911 0.082 0.637
S 0.055 0.418 0.830
S 0.582 0.637 0.411
S 0.670 0.445 0.582
S 0.670 0.226 0.589
S 0.082 0.170 0.445
S 0.274 0.411 0.830
S 0.170 0.089 0.726
S 0.363 0.418 0.089
U 0.625 0.375 0.750
U 0.375 0.750 0.625
U 0.375 0.625 0.250
U 0.250 0.625 0.875
U 0.125 0.250 0.875
U 0.875 0.750 0.125
U 0.125 0.875 0.750
U 0.250 0.125 0.375
U 0.750 0.875 0.625
U 0.750 0.375 0.125
U 0.625 0.250 0.375
U 0.875 0.125 0.250
Ag 0.625 0.875 0.250
Ag 0.750 0.125 0.875
Ag 0.000 0.500 0.500
Ag 0.375 0.125 0.750
Ag 0.500 0.000 0.500
Ag 0.750 0.625 0.375
Ag 0.375 0.250 0.125
Ag 0.875 0.250 0.625
Ag 0.000 0.000 0.500
Ag 0.125 0.375 0.250
Ag 0.500 0.500 0.000
Ag 0.250 0.375 0.625
Ag 0.000 0.500 0.000
Ag 0.500 0.000 0.000
Ag 0.500 0.500 0.500
Ag 0.250 0.875 0.125
Ag 0.625 0.750 0.875
Ag 0.125 0.750 0.375
Ag 0.000 0.000 0.000
Ag 0.875 0.625 0.750

=====

[4]
! Na3HfSn2Se6 (PBE, relaxed); values from VASP
! * VASP energy: -4.530 eV per atom
! * Fermi-level density of states: 4.0 states/eV/f.u.
&SYSTEM
  ibrav = 0, nat = 12, ntyp = 4
/
ATOMIC_SPECIES
Se 78.96 Se.upf
Na 22.99 Na.upf
Sn 118.71 Sn.upf
Hf 178.49 Hf.upf
CELL_PARAMETERS angstrom
7.170 -0.004 -0.007
-3.587 6.209 -0.007
-1.203 -2.083 6.915
ATOMIC_POSITIONS crystal
Se 0.767 0.767 0.224
Se 0.385 0.075 0.224
Se 0.233 0.233 0.776
Se 0.075 0.385 0.224
Se 0.925 0.615 0.776
Se 0.615 0.925 0.776
Na 0.500 0.500 0.500
Na 0.174 0.826 0.500
Na 0.826 0.174 0.500
Sn 0.665 0.335 0.000
Sn 0.335 0.665 0.000
Hf 0.000 0.000 0.000